A relaxed structure of CaCd2FeO4. Source: Alexandria, functional PBE with a Hubbard U.

Cell and atoms, written as extended XYZ:
```
16
Lattice="3.3023 0.0000 0.0000 -1.6511 5.7021 0.0000 0.0000 0.0000 11.7907" Properties=species:S:1:pos:R:3 pbc="T T T"
Ca 0.0000 1.6156 8.8430
Ca 1.6511 4.0866 2.9477
Cd 0.0000 4.1960 6.2793
Cd 1.6511 1.5061 0.3840
Cd 1.6511 1.5061 5.5113
Cd 0.0000 4.1960 11.4067
Fe 1.6511 4.3837 8.8430
Fe 0.0000 1.3185 2.9477
O 0.0000 2.8982 1.5409
O 1.6511 2.8039 7.4362
O 1.6511 2.8039 10.2498
O 0.0000 2.8982 4.3545
O 0.0000 0.0000 5.8953
O 0.0000 0.0000 0.0000
O 0.0000 5.4825 8.8430
O 1.6511 0.2197 2.9477
```

## Properties
- volume (Å³ per cell) = 222.0
- Fermi-level density of states (states/eV/atom) = 0.051
- VASP energy (eV per atom) = -5.130